# LaNpNi17 PBE relaxed
# E in eV per atom: -6.222
# ΔE_f in eV per atom: -0.11
# Fermi-level density of states in states/eV per atom: 1.783
# M_tot in μB/atom: 0.175
data_LaNpNi17
_chemical_formula_sum 'La1 Np1 Ni17'
_symmetry_space_group_name_H-M 'P 1'
_symmetry_Int_Tables_number 1
_cell_length_a 6.276
_cell_length_b 6.276
_cell_length_c 6.276
_cell_angle_alpha 83.10
_cell_angle_beta 83.10
_cell_angle_gamma 83.10
loop_
_symmetry_equiv_pos_as_xyz
'x,y,z'
loop_
_atom_site_label
_atom_site_type_symbol
_atom_site_fract_x
_atom_site_fract_y
_atom_site_fract_z
Ni1 Ni 0.850 0.344 0.344
Ni2 Ni 0.001 0.001 0.500
Ni3 Ni 0.500 0.001 0.001
Ni4 Ni 0.344 0.850 0.344
Ni5 Ni 0.102 0.102 0.102
Ni6 Ni 0.001 0.500 0.001
Ni7 Ni 0.156 0.651 0.651
Ni8 Ni 0.002 0.706 0.293
Ni9 Ni 0.904 0.904 0.904
Ni10 Ni 0.002 0.293 0.706
Ni11 Ni 0.651 0.156 0.651
Ni12 Ni 0.651 0.651 0.156
Ni13 Ni 0.293 0.002 0.706
Ni14 Ni 0.293 0.706 0.002
Ni15 Ni 0.344 0.344 0.850
Ni16 Ni 0.706 0.002 0.293
Ni17 Ni 0.706 0.293 0.002
La1 La 0.660 0.660 0.660
Np1 Np 0.336 0.336 0.336



# LaInBr2 PBE relaxed
# E in eV per atom: -3.388
# Fermi-level density of states in states/eV per atom: 1.036
# Raw formation energy in eV per atom: -0.635
# M_tot in μB/atom: 0.398
data_LaInBr2
_chemical_formula_sum 'La1 In1 Br2'
_symmetry_space_group_name_H-M 'P 1'
_symmetry_Int_Tables_number 1
_cell_length_a 5.550
_cell_length_b 5.550
_cell_length_c 5.550
_cell_angle_alpha 60.00
_cell_angle_beta 60.00
_cell_angle_gamma 60.00
loop_
_symmetry_equiv_pos_as_xyz
'x,y,z'
loop_
_atom_site_label
_atom_site_type_symbol
_atom_site_fract_x
_atom_site_fract_y
_atom_site_fract_z
Br1 Br 0.000 0.000 0.000
Br2 Br 0.250 0.250 0.250
In1 In 0.500 0.500 0.500
La1 La 0.750 0.750 0.750



# BeOs3Br PBE relaxed
# E in eV per atom: -5.154
# Fermi-level density of states in states/eV per atom: 0.698
# Raw formation energy in eV per atom: 2.664
# M_tot in μB/atom: 0.000
data_BeOs3Br
_chemical_formula_sum 'Be1 Os3 Br1'
_symmetry_space_group_name_H-M 'P 1'
_symmetry_Int_Tables_number 1
_cell_length_a 4.518
_cell_length_b 4.518
_cell_length_c 4.518
_cell_angle_alpha 90.00
_cell_angle_beta 90.00
_cell_angle_gamma 90.00
loop_
_symmetry_equiv_pos_as_xyz
'x,y,z'
loop_
_atom_site_label
_atom_site_type_symbol
_atom_site_fract_x
_atom_site_fract_y
_atom_site_fract_z
Be1 Be 0.500 0.500 0.500
Os1 Os 0.000 0.000 0.500
Os2 Os 0.500 0.000 0.000
Os3 Os 0.000 0.500 0.000
Br1 Br 0.000 0.000 0.000



# NaSrCaIn PBE relaxed
# E in eV per atom: -2.169
# ΔE_f in eV per atom: -0.23
# Fermi-level density of states in states/eV per atom: 1.484
# M_tot in μB/atom: 0.000
data_NaSrCaIn
_chemical_formula_sum 'Na1 Sr1 Ca1 In1'
_symmetry_space_group_name_H-M 'P 1'
_symmetry_Int_Tables_number 1
_cell_length_a 5.763
_cell_length_b 5.763
_cell_length_c 5.763
_cell_angle_alpha 60.00
_cell_angle_beta 60.00
_cell_angle_gamma 60.00
loop_
_symmetry_equiv_pos_as_xyz
'x,y,z'
loop_
_atom_site_label
_atom_site_type_symbol
_atom_site_fract_x
_atom_site_fract_y
_atom_site_fract_z
In1 In 0.750 0.750 0.750
Sr1 Sr 0.000 0.000 0.000
Na1 Na 0.250 0.250 0.250
Ca1 Ca 0.500 0.500 0.500



# LiTbPuTl PBE relaxed
# E in eV per atom: -5.774
# ΔE_f in eV per atom: 0.04
# Fermi-level density of states in states/eV per atom: 2.391
# M_tot in μB/atom: 1.592
data_LiTbPuTl
_chemical_formula_sum 'Li1 Tb1 Pu1 Tl1'
_symmetry_space_group_name_H-M 'P 1'
_symmetry_Int_Tables_number 1
_cell_length_a 5.324
_cell_length_b 5.324
_cell_length_c 5.324
_cell_angle_alpha 60.00
_cell_angle_beta 60.00
_cell_angle_gamma 60.00
loop_
_symmetry_equiv_pos_as_xyz
'x,y,z'
loop_
_atom_site_label
_atom_site_type_symbol
_atom_site_fract_x
_atom_site_fract_y
_atom_site_fract_z
Li1 Li 0.500 0.500 0.500
Tl1 Tl 0.000 0.000 0.000
Pu1 Pu 0.750 0.750 0.750
Tb1 Tb 0.250 0.250 0.250



# Y2CdIn PBE relaxed
# E in eV per atom: -4.587
# ΔE_f in eV per atom: -0.44
# Fermi-level density of states in states/eV per atom: 0.994
# M_tot in μB/atom: 0.000
data_Y2CdIn
_chemical_formula_sum 'Y2 Cd1 In1'
_symmetry_space_group_name_H-M 'P 1'
_symmetry_Int_Tables_number 1
_cell_length_a 5.332
_cell_length_b 3.730
_cell_length_c 5.333
_cell_angle_alpha 90.00
_cell_angle_beta 90.00
_cell_angle_gamma 90.00
loop_
_symmetry_equiv_pos_as_xyz
'x,y,z'
loop_
_atom_site_label
_atom_site_type_symbol
_atom_site_fract_x
_atom_site_fract_y
_atom_site_fract_z
In1 In 0.500 0.625 0.875
Y1 Y 0.000 0.125 0.875
Y2 Y 0.500 0.125 0.375
Cd1 Cd 0.000 0.625 0.375



Which of these has the lowest E? LaNpNi17



Among the records above, which one has the highest E? NaSrCaIn



Among the records above, which one has the lowest E? LaNpNi17